Here is a relaxed CsPd3F9 crystal from Alexandria. Energies are from GGA-PBE.

a = 4.1645 Å, b = 7.8286 Å, c = 7.8286 Å
α = 120.00°, β = 90.00°, γ = 90.00°
Positions (direct):
1 Cs 0.0000 0.0000 0.0000
2 Pd 0.5000 0.0000 0.5000
3 Pd 0.5000 0.5000 0.0000
4 Pd 0.5000 0.5000 0.5000
5 F 0.0000 0.0000 0.5000
6 F 0.5000 0.2018 0.4035
7 F 0.5000 0.2018 0.7982
8 F 0.5000 0.5965 0.7982
9 F 0.0000 0.5000 0.0000
10 F 0.5000 0.4035 0.2018
11 F 0.0000 0.5000 0.5000
12 F 0.5000 0.7982 0.2018
13 F 0.5000 0.7982 0.5965

Volume in Å³/atom: 17.00
Magnetic moment in μB per formula unit: 0.00
Calculated total energy in eV/cell: -53.2